[1]
A plane-wave DFT calculation with PBE was carried out for a relaxed KRb2NbBr6 crystal.

**Energy above the lowest structure with this stoichiometry**: 10 meV/atom
**N(E_F)**: 9.56 states/eV/f.u.
**Crystal system**: cubic
**Formation energy without anion corrections**: -1.33 eV/atom

Cell: 11.5479 11.5479 11.5479 Å, 90.00 90.00 90.00°
Last column: nearest neighbours and their distance in Å.
Space group Fm-3m (No. 225)
One atom of each set of equivalent atoms:
K 0.0000 0.0000 0.0000 (multiplicity 4)  6 Br 3.12
Rb 0.2500 0.2500 0.2500 (multiplicity 8)  12 Br 4.09
Nb 0.0000 0.0000 0.5000 (multiplicity 4)  6 Br 2.65
Br 0.0000 0.0000 0.2705 (multiplicity 24)  1 Nb 2.65

---

[2]
A plane-wave DFT calculation with PBE was carried out for a relaxed InNi crystal.

**Energy relative to the elements**: -0.09 eV/atom
**N(E_F)**: 1.53 states/eV/f.u.
**Crystal system**: cubic

Cell: 3.1531 3.1531 3.1531 Å, 90.00 90.00 90.00°
Last column: nearest neighbours and their distance in Å.
Space group Pm-3m (No. 221)
One atom of each set of equivalent atoms:
In 0.0000 0.0000 0.0000 (multiplicity 1)  8 Ni 2.73
Ni 0.5000 0.5000 0.5000 (multiplicity 1)  8 In 2.73

---

[3]
A plane-wave DFT calculation with PBE was carried out for a relaxed TbPm4PrSm2 crystal.

**Energy relative to the elements**: 0.01 eV/atom
**N(E_F)**: 10.59 states/eV/f.u.
**Crystal system**: monoclinic

Cell: 7.2898 7.2787 10.2963 Å, 90.00 90.13 90.00°
Last column: nearest neighbours and their distance in Å.
Space group P2/m (No. 10)
One atom of each set of equivalent atoms:
Tb 0.0000 0.0000 0.0000 (multiplicity 1)  8 Pm 3.62-3.63, 2 Sm 3.64, 2 Tb 3.64
Tb 0.5000 0.0000 0.0000 (multiplicity 1)  8 Pm 3.63-3.64, 2 Pr 3.64, 2 Tb 3.64
Pm 0.2490 0.2491 0.2488 (multiplicity 4)  2 Tb 3.62-3.64, 4 Pm 3.63-3.66, 4 Sm 3.63-3.65, 2 Pr 3.64-3.65
Pm 0.2485 0.2490 0.7514 (multiplicity 4)  4 Pm 3.63-3.66, 2 Tb 3.63, 4 Sm 3.63-3.66, 2 Pr 3.64-3.66
Pr 0.5000 0.0000 0.5000 (multiplicity 1)  4 Sm 3.64, 8 Pm 3.65-3.66
Pr 0.5000 0.5000 0.0000 (multiplicity 1)  8 Pm 3.64, 2 Tb 3.64, 2 Sm 3.64
Sm 0.0000 0.0000 0.5000 (multiplicity 1)  2 Sm 3.64, 8 Pm 3.64-3.65, 2 Pr 3.64
Sm 0.0000 0.5000 0.0000 (multiplicity 1)  8 Pm 3.63, 2 Tb 3.64, 2 Pr 3.64
Sm 0.0000 0.5000 0.5000 (multiplicity 1)  4 Sm 3.64, 8 Pm 3.65
Sm 0.5000 0.5000 0.5000 (multiplicity 1)  2 Pr 3.64, 2 Sm 3.64, 8 Pm 3.65-3.66

---

- What is the N(E_F) in the second record?
  1.53 states/eV/f.u.

---

- Which of these has the lowest N(E_F)?
  InNi

---

- What is the N(E_F) in the first record?
  9.56 states/eV/f.u.